No. 1
A geometry-optimized V5Si3N structure, computed with GGA-PBE.

Cell: 7.0864 7.0864 4.9812 Å, 90.00 90.00 120.00°
Space group P6_3/mcm (No. 193)
One atom of each set of equivalent atoms:
V 0.0000 0.2282 0.2500 (multiplicity 6)
V 0.3333 0.6667 0.0000 (multiplicity 4)
Si 0.0000 0.4094 0.7500 (multiplicity 6)
N 0.0000 0.0000 0.0000 (multiplicity 2)

Output
As for the formation energy without anion corrections: -0.73 eV/atom.



No. 2
A geometry-optimized Li2Gd structure, computed with GGA-PBE.

Cell: 3.580 3.580 11.118 Å, 90.00 90.00 90.00°
Space group I4/mmm (No. 139)
One atom of each set of equivalent atoms:
Li 0.000 0.000 0.193 (multiplicity 4)
Gd 0.000 0.000 0.500 (multiplicity 2)



No. 3
A geometry-optimized La2ErCd3 structure, computed with GGA-PBE.

Cell: 3.762 3.762 12.174 Å, 90.00 90.00 90.00°
Space group P4/mmm (No. 123)
One atom of each set of equivalent atoms:
La 0.000 0.000 0.176 (multiplicity 2)
Er 0.000 0.000 0.500 (multiplicity 1)
Cd 0.500 0.500 0.000 (multiplicity 1)
Cd 0.500 0.500 0.356 (multiplicity 2)



No. 4
A geometry-optimized AcSmYSc structure, computed with GGA-PBE.

Cell: 8.143 8.143 8.143 Å, 90.00 90.00 90.00°
Space group F-43m (No. 216)
One atom of each set of equivalent atoms:
Ac 0.000 0.000 0.000 (multiplicity 4)
Sm 0.250 0.250 0.750 (multiplicity 4)
Y 0.250 0.250 0.250 (multiplicity 4)
Sc 0.000 0.000 0.500 (multiplicity 4)



No. 5
A geometry-optimized Pu2TeO3 structure, computed with GGA-PBE.

Cell: 6.0080 6.0080 3.1897 Å, 90.00 90.00 120.00°
Space group P6/mmm (No. 191)
One atom of each set of equivalent atoms:
Pu 0.3333 0.6667 0.0000 (multiplicity 2)
Te 0.0000 0.0000 0.0000 (multiplicity 1)
O 0.0000 0.5000 0.5000 (multiplicity 3)

Output
As for the formation energy without anion corrections: -2.39 eV/atom.



No. 6
A geometry-optimized NiPt2Br structure, computed with GGA-PBE.

Cell: 8.725 2.925 6.507 Å, 90.00 97.46 90.00°
Space group Cm (No. 8)
One atom of each set of equivalent atoms:
Ni 0.000 0.000 0.000 (multiplicity 2)
Pt 0.021 0.500 0.682 (multiplicity 2)
Pt 0.263 0.000 0.834 (multiplicity 2)
Br 0.055 0.500 0.290 (multiplicity 2)

Output
For the excess energy over the best structure of this formula in the dataset, the calculation gives 0 meV per atom. As for the formation energy without anion corrections: 0.29 eV/atom.



No. 7
A geometry-optimized Y2SnSb2 structure, computed with GGA-PBE.

Cell: 8.270 8.270 4.147 Å, 90.00 90.00 90.00°
Space group P4/mbm (No. 127)
One atom of each set of equivalent atoms:
Y 0.152 0.348 0.000 (multiplicity 4)
Sn 0.000 0.000 0.000 (multiplicity 2)
Sb 0.157 0.657 0.500 (multiplicity 4)

Output
For the excess energy over the best structure of this formula in the dataset, the calculation gives 37 meV per atom. As for the formation energy without anion corrections: -0.68 eV/atom.



No. 8
A geometry-optimized CaP2O structure, computed with GGA-PBE.

Cell: 4.908 4.908 12.616 Å, 90.00 90.00 90.00°
Space group I4_1/amd (No. 141, origin choice 2)
One atom of each set of equivalent atoms:
Ca 0.000 0.250 0.375 (multiplicity 4)
P 0.000 0.000 0.000 (multiplicity 8)
O 0.000 0.250 0.875 (multiplicity 4)

Output
As for the formation energy without anion corrections: -0.50 eV/atom.



Record-wise total DFT energy (no corrections) values, in eV per atom: -8.53 -5.85 -3.18 -5.21 -10.17 -4.60 -5.72 -4.94